Mg4AgSe: optimized geometry, PBE.

Geometry as POSCAR:
```
Mg4AgSe
1.0
0.000 4.057 4.057
4.057 0.000 4.057
4.057 4.057 0.000
Mg Ag Se
4 1 1
Cartesian
1.012 1.012 1.012 Mg
3.046 3.046 1.012 Mg
3.046 1.012 3.046 Mg
1.012 3.046 3.046 Mg
4.057 4.057 4.057 Ag
6.086 6.086 6.086 Se
```

electronic total energy: -0.0747 Ha/atom
raw formation energy: 0.087 eV/atom